The following is a PBE-GGA calculation of a relaxed structure of K2InSiO4, from Alexandria via LeMat-Bulk.

abc: 5.7904 5.7904 5.7904
angles: 91.49 119.15 119.15
Closest atoms and distances in Å follow each position.
Fractional positions:
K: 0.5000 0.7500 0.2500  4 O 2.67
K: 0.0000 0.0000 0.0000  4 O 2.93
In: 0.5000 0.2500 0.7500  4 O 2.24
Si: 0.0000 0.5000 0.5000  4 O 1.67
O: 0.6687 0.4167 0.4787  1 Si 1.67
O: 0.0620 0.2520 0.5833  1 Si 1.67
O: 0.9380 0.5213 0.1900  1 Si 1.67
O: 0.3313 0.8100 0.7480  1 Si 1.67

## Properties
- uncorrected formation energy (kJ per mole of atoms) = -186
- calculated total energy (eV for the cell shown) = -45.6